Below is a relaxed KMgAl crystal, with properties calculated at the PBEsol level.

Lattice parameters (Å, degrees): 3.065 4.595 6.841 109.62 102.94 90.00
Positions (direct):
Mg1 0.382 0.382 0.763
Al1 0.957 0.957 0.913
K1 0.662 0.662 0.323

Computed properties:
space-group type: No. 44
ΔH_f (0 K): 0.23 eV/atom
uncorrected energy: -2.09 eV/atom
Fermi-level density of states: 1.43 states/eV/f.u.
energy above the most stable polymorph in this dataset: 0 meV/atom
size of the total moment: 0.00 μB per formula unit
crystal system: orthorhombic
theoretical density: 1.7 g cm⁻³

Below is a relaxed K2RbRe crystal, with properties calculated at the PBEsol level.

Lattice parameters (Å, degrees): 6.103 6.103 6.103 60.00 60.00 60.00
Site moments in Bohr magnetons follow the coordinates.
Positions (direct):
Re1 0.500 0.500 0.500  3.04
K1 0.750 0.750 0.750  0.00
K2 0.250 0.250 0.250  0.00
Rb1 0.000 0.000 0.000  -0.01

Computed properties:
space-group type: No. 225
ΔH_f (0 K): 1.65 eV/atom
uncorrected energy: -2.50 eV/atom
Fermi-level density of states: 6.27 states/eV/f.u.
size of the total moment: 3.80 μB per formula unit
crystal system: cubic
theoretical density: 3.6 g cm⁻³

Below is a relaxed Y2CoNi crystal, with properties calculated at the PBEsol level.

Lattice parameters (Å, degrees): 3.839 3.846 5.512 90.00 110.38 90.00
Positions (direct):
Co1 0.699 0.000 0.398
Ni1 0.565 0.500 0.130
Y1 0.273 0.500 0.546
Y2 0.988 0.000 0.977

Computed properties:
space-group type: No. 38
ΔH_f (0 K): -0.29 eV/atom
uncorrected energy: -7.18 eV/atom
Fermi-level density of states: 3.05 states/eV/f.u.
size of the total moment: 0.00 μB per formula unit
crystal system: orthorhombic
theoretical density: 6.4 g cm⁻³

What is the uncorrected energy in the second record? -2.50 eV/atom